Computed, not measured: a PBEsol-optimized structure of LaSc2Ru at the SCAN level of DFT.

Unit cell a=3.231 b=3.231 c=8.605 alpha=90.00 beta=90.00 gamma=90.00
Positions (direct):
1 La 0.000 0.000 0.000
2 Sc 0.500 0.500 0.326
3 Sc 0.500 0.500 0.674
4 Ru 0.000 0.000 0.500

Calculated values
Excess energy over the best structure of this formula in the dataset: 0.000 eV per atom
V: 22.5 Å³/atom
DFT total energy: -108.0 eV per cell